Crystalline CoPd2F at its relaxed geometry. Source: the Alexandria database, functional PBE with a Hubbard U.

## Properties
**Magnetization**: 0.756 μB per atom
**Volume**: 14.8 Å³/atom
**Total DFT energy (no corrections)**: -68.7 eV per cell
**Energy above the lowest structure with this stoichiometry**: 16 meV/atom

The structure in CIF format:
```
data_CoPd2F
_symmetry_space_group_name_H-M 'I -4 2 d'
_symmetry_Int_Tables_number 122
_symmetry_space_group_name_Hall 'I -4 2bw'
_cell_length_a 6.6303
_cell_length_b 6.6303
_cell_length_c 5.3724
_cell_angle_alpha 90.00
_cell_angle_beta 90.00
_cell_angle_gamma 90.00
loop_
_atom_site_label
_atom_site_fract_x
_atom_site_fract_y
_atom_site_fract_z
_atom_site_occupancy
Co1 0.0000 0.0000 0.0000 1
Pd1 0.2327 0.2500 0.6250 1
F1 0.0000 0.0000 0.5000 1
```